The following is a PBE-GGA calculation of an optimized crystal structure of Tm4Tl2Co, from Alexandria via LeMat-Bulk.

* DFT formation energy: -0.171 eV per atom
* total magnetization: 0.0 μB per formula unit
* volume: 27.4 Å³/atom

```
data_Tm4Tl2Co
_space_group_name_H-M_alt 'P 1 2/m 1'
_space_group_IT_number 10
_cell_length_a 6.457
_cell_length_b 3.619
_cell_length_c 8.701
_cell_angle_alpha 90.00
_cell_angle_beta 109.53
_cell_angle_gamma 90.00
loop_
_space_group_symop_operation_xyz
'x,y,z'
'-x,-y,-z'
'-x,y,-z'
'x,-y,z'
loop_
_atom_site_label
_atom_site_type_symbol
_atom_site_fract_x
_atom_site_fract_y
_atom_site_fract_z
Tm1 Tm 0.124 0.000 0.271
Tm2 Tm 0.353 0.500 0.653
Tl1 Tl 0.256 0.500 0.996
Co1 Co 0.500 0.000 0.500
```

---

The following is a PBE-GGA calculation of an optimized crystal structure of Tm5Tl2Co, from Alexandria via LeMat-Bulk.

* DFT formation energy: 0.078 eV per atom
* relative energy among the computed polymorphs: 2.63 eV per formula unit
* total magnetization: 0.0 μB per formula unit
* volume: 32.6 Å³/atom

```
data_Tm5Tl2Co
_space_group_name_H-M_alt 'C m c m'
_space_group_IT_number 63
_space_group_name_Hall '-C 2c 2'
_cell_length_a 5.104
_cell_length_b 16.640
_cell_length_c 12.297
_cell_angle_alpha 90.00
_cell_angle_beta 90.00
_cell_angle_gamma 90.00
loop_
_atom_site_label
_atom_site_type_symbol
_atom_site_fract_x
_atom_site_fract_y
_atom_site_fract_z
Tm1 Tm 0.000 0.082 0.106
Tm2 Tm 0.000 0.290 0.750
Tm3 Tm 0.000 0.295 0.084
Tl1 Tl 0.000 0.104 0.633
Co1 Co 0.000 0.192 0.250
```

---

The following is a PBE-GGA calculation of an optimized crystal structure of Tm5Tl2Co, from Alexandria via LeMat-Bulk.

* DFT formation energy: -0.250 eV per atom
* relative energy among the computed polymorphs: 0.00 eV per formula unit
* total magnetization: 0.0 μB per formula unit
* volume: 26.1 Å³/atom

```
data_Tm5Tl2Co
_space_group_name_H-M_alt 'P b a m'
_space_group_IT_number 55
_cell_length_a 7.946
_cell_length_b 11.624
_cell_length_c 4.514
_cell_angle_alpha 90.00
_cell_angle_beta 90.00
_cell_angle_gamma 90.00
loop_
_space_group_symop_operation_xyz
'x,y,z'
'-x,-y,-z'
'-x,-y,z'
'x,y,-z'
'x+1/2,-y+1/2,-z'
'-x+1/2,y+1/2,z'
'-x+1/2,y+1/2,-z'
'x+1/2,-y+1/2,z'
loop_
_atom_site_label
_atom_site_type_symbol
_atom_site_fract_x
_atom_site_fract_y
_atom_site_fract_z
Tm1 Tm 0.000 0.000 0.000
Tm2 Tm 0.143 0.304 0.000
Tm3 Tm 0.180 0.567 0.500
Tl1 Tl 0.066 0.829 0.500
Co1 Co 0.000 0.500 0.000
```

---

| no. | DOS at the Fermi energy (states/eV per cell) |
| --- | --- |
| 1 | 5.1 |
| 2 | 27.5 |
| 3 | 15.0 |